[1]
A relaxed Tb2DySc3Sb6 crystal, computed with PBE.

Unit cell a=7.422 b=12.862 c=7.402 alpha=90.00 beta=109.53 gamma=90.00
Space group C2/m (No. 12)
One atom of each set of equivalent atoms:
1 Tb 0.000 0.166 0.000
2 Dy 0.000 0.500 0.000
3 Sc 0.000 0.000 0.500
4 Sc 0.000 0.333 0.500
5 Sb 0.244 0.500 0.734
6 Sb 0.245 0.166 0.734

Calculated values
total DFT energy (no corrections) = -5.833 eV/atom
raw formation energy = -1034 meV per atom
theoretical density = 6.71 g/cm³

[2]
A relaxed DyThSc2Sb4 crystal, computed with PBE.

Unit cell a=7.429 b=4.327 c=7.475 alpha=90.00 beta=109.61 gamma=90.00
Space group P2/m (No. 10)
One atom of each set of equivalent atoms:
1 Dy 0.000 0.000 0.000
2 Th 0.000 0.500 0.500
3 Sc 0.500 0.000 0.500
4 Sc 0.500 0.500 0.000
5 Sb 0.268 0.500 0.252
6 Sb 0.272 0.000 0.762

Calculated values
total DFT energy (no corrections) = -6.129 eV/atom
raw formation energy = -983 meV per atom
theoretical density = 7.13 g/cm³

[3]
A relaxed Dy2ThScSb4 crystal, computed with PBE.

Unit cell a=7.546 b=4.384 c=7.583 alpha=90.00 beta=109.51 gamma=90.00
Space group P2/m (No. 10)
One atom of each set of equivalent atoms:
1 Dy 0.000 0.000 0.000
2 Dy 0.500 0.500 0.000
3 Th 0.000 0.500 0.500
4 Sc 0.500 0.000 0.500
5 Sb 0.262 0.000 0.752
6 Sb 0.262 0.500 0.256

Calculated values
total DFT energy (no corrections) = -5.949 eV/atom
raw formation energy = -1019 meV per atom
theoretical density = 7.65 g/cm³